DyYNCl3 | PBE | optimized geometry

Calculated values
* energy above the most stable polymorph in this dataset: 0.000 eV/atom
* total moment: 0.00 μB per atom

abc: 8.602 8.602 10.900
angles: 121.96 121.96 25.76
Element x y z (fractional)
1 Dy 0.082 0.082 0.457
2 Dy 0.918 0.918 0.543
3 Y 0.362 0.362 0.208
4 Y 0.638 0.638 0.792
5 N 0.076 0.076 0.657
6 N 0.924 0.924 0.343
7 Cl 0.168 0.168 0.012
8 Cl 0.283 0.283 0.385
9 Cl 0.457 0.457 0.749
10 Cl 0.543 0.543 0.251
11 Cl 0.717 0.717 0.615
12 Cl 0.832 0.832 0.988